An optimized crystal structure of ZrTaAu. Source: Alexandria via LeMat-Bulk, functional PBE-GGA.

a = 4.5687 Å, b = 4.5687 Å, c = 4.5687 Å
α = 60.00°, β = 60.00°, γ = 60.00°
Sites, in units of the cell vectors:
Ta (0.0000, 0.0000, 0.0000)
Au (0.7500, 0.7500, 0.7500)
Zr (0.5000, 0.5000, 0.5000)

Computed properties:
* SG: F-43m (216)
* crystal system: cubic
* D(E_F): 3.761 states/eV/f.u.
* VASP energy: -7.503 eV per atom
* volume: 22.5 Å³/atom


An optimized crystal structure of BeAlH2. Source: Alexandria via LeMat-Bulk, functional PBE-GGA.

a = 3.8251 Å, b = 4.0775 Å, c = 4.9652 Å
α = 101.54°, β = 96.09°, γ = 110.19°
Sites, in units of the cell vectors:
Be (0.5277, 0.1058, 0.3110)
H (0.8838, 0.6685, 0.9837)
H (0.4643, 0.7305, 0.2640)
Al (0.7987, 0.6864, 0.6420)
Be (0.1199, 0.2632, 0.5483)
H (0.3134, 0.6256, 0.7156)
H (0.5029, 0.1595, 0.0344)
Al (0.0564, 0.3362, 0.0670)

Computed properties:
* SG: P1 (1)
* crystal system: triclinic
* D(E_F): 0.123 states/eV/f.u.
* VASP energy: -3.368 eV per atom
* volume: 8.7 Å³/atom


An optimized crystal structure of LaErRu. Source: Alexandria via LeMat-Bulk, functional PBE-GGA.

a = 4.8656 Å, b = 4.8656 Å, c = 4.8656 Å
α = 60.00°, β = 60.00°, γ = 60.00°
Sites, in units of the cell vectors:
Ru (0.2500, 0.2500, 0.2500)
La (0.5000, 0.5000, 0.5000)
Er (0.0000, 0.0000, 0.0000)

Computed properties:
* SG: F-43m (216)
* crystal system: cubic
* D(E_F): 1.799 states/eV/f.u.
* VASP energy: -6.491 eV per atom
* volume: 27.2 Å³/atom


An optimized crystal structure of ThCuAu. Source: Alexandria via LeMat-Bulk, functional PBE-GGA.

a = 3.5991 Å, b = 3.7749 Å, c = 10.0287 Å
α = 90.00°, β = 100.34°, γ = 90.00°
Sites, in units of the cell vectors:
Au (0.0611, 0.7500, 0.1222)
Au (0.9389, 0.2500, 0.8778)
Th (0.1845, 0.2500, 0.3689)
Cu (0.5494, 0.2500, 0.0988)
Cu (0.4506, 0.7500, 0.9012)
Th (0.8155, 0.7500, 0.6311)

Computed properties:
* SG: Cmcm (63)
* crystal system: orthorhombic
* D(E_F): 2.698 states/eV/f.u.
* VASP energy: -4.972 eV per atom
* volume: 22.3 Å³/atom


An optimized crystal structure of Nd2Sn3Pd4Au. Source: Alexandria via LeMat-Bulk, functional PBE-GGA.

a = 4.4733 Å, b = 4.4733 Å, c = 11.1270 Å
α = 90.00°, β = 90.00°, γ = 90.00°
Sites, in units of the cell vectors:
Sn (0.0000, 0.5000, 0.1282)
Au (0.5000, 0.5000, 0.5000)
Pd (0.5000, 0.0000, 0.6406)
Pd (0.5000, 0.5000, 0.0000)
Sn (0.0000, 0.0000, 0.5000)
Pd (0.0000, 0.0000, 0.0000)
Pd (0.0000, 0.5000, 0.3594)
Nd (0.0000, 0.5000, 0.7410)
Nd (0.5000, 0.0000, 0.2590)
Sn (0.5000, 0.0000, 0.8718)

Computed properties:
* SG: P-4m2 (115)
* crystal system: tetragonal
* D(E_F): 5.432 states/eV/f.u.
* VASP energy: -5.269 eV per atom
* volume: 22.3 Å³/atom


An optimized crystal structure of VInRh. Source: Alexandria via LeMat-Bulk, functional PBE-GGA.

a = 4.7532 Å, b = 4.8436 Å, c = 5.5332 Å
α = 77.83°, β = 64.56°, γ = 60.62°
Sites, in units of the cell vectors:
In (0.8381, 0.3238, 0.0000)
V (0.2500, 0.5000, 0.5000)
Rh (0.3612, 0.0000, 0.2777)
Rh (0.6388, 0.0000, 0.7223)
In (0.1619, 0.6762, 0.0000)
V (0.7500, 0.5000, 0.5000)

Computed properties:
* SG: Fmmm (69)
* crystal system: orthorhombic
* D(E_F): 2.990 states/eV/f.u.
* VASP energy: -6.289 eV per atom
* volume: 16.7 Å³/atom


An optimized crystal structure of Co2TcP. Source: Alexandria via LeMat-Bulk, functional PBE-GGA.

a = 3.5395 Å, b = 3.5395 Å, c = 3.7092 Å
α = 90.00°, β = 90.00°, γ = 90.00°
Site moments in Bohr magnetons follow the coordinates.
Sites, in units of the cell vectors:
Co (0.5000, 0.5000, 0.0000)  0.36
Co (0.0000, 0.0000, 0.0000)  0.36
Tc (0.0000, 0.5000, 0.5000)  0.53
P (0.5000, 0.0000, 0.5000)  0.00

Computed properties:
* SG: P4/mmm (123)
* crystal system: tetragonal
* D(E_F): 5.347 states/eV/f.u.
* VASP energy: -7.524 eV per atom
* volume: 11.6 Å³/atom


An optimized crystal structure of ZnSnBi2N. Source: Alexandria via LeMat-Bulk, functional PBE-GGA.

a = 5.5632 Å, b = 3.7534 Å, c = 5.5632 Å
α = 90.00°, β = 90.00°, γ = 90.00°
Sites, in units of the cell vectors:
N (0.0000, 0.0000, 0.0000)
Zn (0.0000, 0.5000, 0.0000)
Bi (0.0000, 0.0000, 0.5000)
Sn (0.5000, 0.5000, 0.5000)
Bi (0.5000, 0.0000, 0.0000)

Computed properties:
* SG: P4/mmm (123)
* crystal system: tetragonal
* D(E_F): 2.255 states/eV/f.u.
* VASP energy: -3.918 eV per atom
* volume: 23.2 Å³/atom
* energy relative to the elements, uncorrected: 0.3544 eV/atom


An optimized crystal structure of BaCuNiSb2. Source: Alexandria via LeMat-Bulk, functional PBE-GGA.

a = 4.5999 Å, b = 4.5999 Å, c = 6.4904 Å
α = 110.75°, β = 110.75°, γ = 90.00°
Sites, in units of the cell vectors:
Ni (0.7500, 0.2500, 0.5000)
Sb (0.3595, 0.3595, 0.7189)
Sb (0.6405, 0.6405, 0.2811)
Cu (0.2500, 0.7500, 0.5000)
Ba (0.0000, 0.0000, 0.0000)

Computed properties:
* SG: I-4m2 (119)
* crystal system: tetragonal
* D(E_F): 1.801 states/eV/f.u.
* VASP energy: -4.482 eV per atom
* volume: 23.8 Å³/atom
* energy relative to the elements, uncorrected: -0.4733 eV/atom


An optimized crystal structure of Dy2Ho5Tm2. Source: Alexandria via LeMat-Bulk, functional PBE-GGA.

a = 4.9581 Å, b = 9.2965 Å, c = 7.8547 Å
α = 53.73°, β = 71.60°, γ = 74.53°
Sites, in units of the cell vectors:
Ho (0.6666, 0.9997, 0.6671)
Ho (0.3334, 0.0003, 0.3329)
Ho (0.0000, 0.0000, 0.0000)
Ho (0.7782, 0.3333, 0.1103)
Tm (0.5557, 0.6662, 0.2223)
Dy (0.1107, 0.3335, 0.4451)
Tm (0.4443, 0.3338, 0.7777)
Ho (0.2218, 0.6667, 0.8897)
Dy (0.8893, 0.6665, 0.5549)

Computed properties:
* SG: C2/m (12)
* crystal system: monoclinic
* D(E_F): 11.501 states/eV/f.u.
* VASP energy: -4.539 eV per atom
* volume: 30.6 Å³/atom


An optimized crystal structure of CsAgBi3. Source: Alexandria via LeMat-Bulk, functional PBE-GGA.

a = 6.3610 Å, b = 6.3610 Å, c = 6.3610 Å
α = 90.00°, β = 90.00°, γ = 90.00°
Sites, in units of the cell vectors:
Bi (0.0000, 0.5000, 0.0000)
Ag (0.5000, 0.5000, 0.5000)
Cs (0.0000, 0.0000, 0.0000)
Bi (0.0000, 0.0000, 0.5000)
Bi (0.5000, 0.0000, 0.0000)

Computed properties:
* SG: Pm-3m (221)
* crystal system: cubic
* D(E_F): 9.353 states/eV/f.u.
* VASP energy: -1.554 eV per atom
* volume: 51.5 Å³/atom


An optimized crystal structure of KHgPd2F8. Source: Alexandria via LeMat-Bulk, functional PBE-GGA.

a = 4.4703 Å, b = 5.4205 Å, c = 8.3637 Å
α = 83.03°, β = 87.89°, γ = 80.88°
Site moments in Bohr magnetons follow the coordinates.
Sites, in units of the cell vectors:
K (0.0000, 0.0000, 0.5000)  0.00
Hg (0.0000, 0.0000, 0.0000)  0.00
F (0.8768, 0.2660, 0.7569)  0.01
Pd (0.5062, 0.4944, 0.2228)  0.38
F (0.5854, 0.7225, 0.0246)  0.06
F (0.1232, 0.7340, 0.2431)  0.01
F (0.1072, 0.7419, 0.7997)  0.01
Pd (0.4938, 0.5056, 0.7772)  0.38
F (0.5686, 0.7173, 0.5787)  0.03
F (0.4146, 0.2775, 0.9754)  0.06
F (0.8928, 0.2581, 0.2003)  0.01
F (0.4314, 0.2827, 0.4213)  0.03

Computed properties:
* SG: P-1 (2)
* crystal system: triclinic
* D(E_F): 3.677 states/eV/f.u.
* VASP energy: -3.780 eV per atom
* volume: 16.5 Å³/atom
* energy relative to the elements, uncorrected: -1.5499 eV/atom


An optimized crystal structure of AcDy5Ho6. Source: Alexandria via LeMat-Bulk, functional PBE-GGA.

a = 11.8119 Å, b = 6.1829 Å, c = 6.1790 Å
α = 59.98°, β = 85.00°, γ = 79.97°
Sites, in units of the cell vectors:
Dy (0.5000, 0.5000, 0.0000)
Dy (0.5000, 0.8330, 0.3341)
Ho (0.7456, 0.4213, 0.6637)
Ho (0.2544, 0.9149, 0.6637)
Ho (0.2544, 0.5787, 0.3363)
Ho (0.2546, 0.2514, 0.0000)
Ho (0.7456, 0.0851, 0.3363)
Ac (0.0000, 0.0000, 0.0000)
Dy (0.0000, 0.6666, 0.6668)
Dy (0.0000, 0.3334, 0.3332)
Dy (0.5000, 0.1670, 0.6659)
Ho (0.7454, 0.7486, 0.0000)

Computed properties:
* SG: C2/m (12)
* crystal system: monoclinic
* D(E_F): 15.284 states/eV/f.u.
* VASP energy: -4.517 eV per atom
* volume: 32.1 Å³/atom


An optimized crystal structure of ReTcOs3. Source: Alexandria via LeMat-Bulk, functional PBE-GGA.

a = 4.3608 Å, b = 4.7857 Å, c = 7.3223 Å
α = 71.04°, β = 90.00°, γ = 90.00°
Sites, in units of the cell vectors:
Os (0.6244, 0.0159, 0.2235)
Os (0.1244, 0.0825, 0.4237)
Os (0.6244, 0.6177, 0.0248)
Os (0.1244, 0.2808, 0.0257)
Os (0.1244, 0.4808, 0.6225)
Re (0.6244, 0.2156, 0.8251)
Tc (0.1244, 0.6849, 0.2248)
Re (0.1244, 0.8829, 0.8221)
Os (0.6244, 0.8177, 0.6215)
Tc (0.6244, 0.4136, 0.4225)

Computed properties:
* SG: P2_1/m (11)
* crystal system: monoclinic
* D(E_F): 4.309 states/eV/f.u.
* VASP energy: -11.368 eV per atom
* volume: 14.5 Å³/atom


An optimized crystal structure of PuBiBr6. Source: Alexandria via LeMat-Bulk, functional PBE-GGA.

a = 7.4725 Å, b = 7.4725 Å, c = 7.1646 Å
α = 98.01°, β = 98.01°, γ = 122.71°
Site moments in Bohr magnetons follow the coordinates.
Sites, in units of the cell vectors:
Br (0.7543, 0.7543, 0.2509)  -0.03
Br (0.2457, 0.2457, 0.7491)  -0.03
Bi (0.5000, 0.5000, 0.5000)  0.03
Br (0.8978, 0.5998, 0.7515)  -0.03
Br (0.4002, 0.1022, 0.2485)  -0.03
Br (0.5998, 0.8978, 0.7515)  -0.03
Pu (0.0000, 0.0000, 0.0000)  5.06
Br (0.1022, 0.4002, 0.2485)  -0.03

Computed properties:
* SG: C2/m (12)
* crystal system: monoclinic
* D(E_F): 8.133 states/eV/f.u.
* VASP energy: -4.621 eV per atom
* volume: 40.3 Å³/atom
* energy relative to the elements, uncorrected: -1.0894 eV/atom


An optimized crystal structure of CoAgSe4. Source: Alexandria via LeMat-Bulk, functional PBE-GGA.

a = 5.6520 Å, b = 7.0728 Å, c = 7.0663 Å
α = 110.05°, β = 99.90°, γ = 100.06°
Sites, in units of the cell vectors:
Co (0.2501, 0.0820, 0.9180)
Se (0.5195, 0.3444, 0.8752)
Ag (0.7501, 0.5577, 0.4421)
Ag (0.2499, 0.4423, 0.5579)
Co (0.7499, 0.9180, 0.0820)
Se (0.4990, 0.1375, 0.2443)
Se (0.0007, 0.7553, 0.8622)
Se (0.9804, 0.1245, 0.6560)
Se (0.9992, 0.2447, 0.1378)
Se (0.0195, 0.8755, 0.3440)
Se (0.5009, 0.8625, 0.7557)
Se (0.4805, 0.6556, 0.1248)

Computed properties:
* SG: P-1 (2)
* crystal system: triclinic
* D(E_F): 2.431 states/eV/f.u.
* VASP energy: -4.062 eV per atom
* volume: 21.1 Å³/atom
* energy relative to the elements, uncorrected: -0.0796 eV/atom


An optimized crystal structure of PuAgBiH. Source: Alexandria via LeMat-Bulk, functional PBE-GGA.

a = 4.3069 Å, b = 4.3069 Å, c = 8.5231 Å
α = 90.00°, β = 90.00°, γ = 90.00°
Site moments in Bohr magnetons follow the coordinates.
Sites, in units of the cell vectors:
Pu (0.0000, 0.5000, 0.8821)  5.25
Ag (0.0000, 0.0000, 0.5000)  -0.03
Bi (0.5000, 0.0000, 0.7339)  -0.14
H (0.0000, 0.0000, 0.0000)  -0.03
H (0.5000, 0.5000, 0.0000)  -0.03
Pu (0.5000, 0.0000, 0.1179)  5.25
Ag (0.5000, 0.5000, 0.5000)  -0.03
Bi (0.0000, 0.5000, 0.2661)  -0.14

Computed properties:
* SG: P4/nmm (129)
* crystal system: tetragonal
* D(E_F): 10.165 states/eV/f.u.
* VASP energy: -6.361 eV per atom
* volume: 19.8 Å³/atom


An optimized crystal structure of Ti3GeSe3. Source: Alexandria via LeMat-Bulk, functional PBE-GGA.

a = 8.9279 Å, b = 8.9279 Å, c = 8.9279 Å
α = 109.47°, β = 109.47°, γ = 109.47°
Sites, in units of the cell vectors:
Ti (0.5025, 0.4975, 0.7500)
Ti (0.7475, 0.4951, 0.4975)
Se (0.4969, 0.5031, 0.2500)
Se (0.0031, 0.7531, 0.5061)
Ge (0.5000, 0.2500, 0.5000)
Ge (0.7500, 0.5000, 0.0000)
Se (0.4969, 0.9939, 0.7469)
Ge (0.7500, 0.2500, 0.2500)
Se (0.2531, 0.7469, 0.2500)
Se (0.4939, 0.7469, 0.9969)
Se (0.0031, 0.2500, 0.9969)
Ti (0.9975, 0.2475, 0.4951)
Ti (0.2500, 0.2475, 0.2525)
Ti (0.2500, 0.0025, 0.4975)
Ti (0.9951, 0.4975, 0.2475)
Se (0.2469, 0.2500, 0.7531)
Se (0.2531, 0.5061, 0.5031)
Ti (0.5025, 0.0049, 0.2525)
Se (0.0061, 0.5031, 0.7531)
Se (0.7500, 0.7531, 0.7469)
Ti (0.7475, 0.2525, 0.7500)
Ti (0.7525, 0.7500, 0.2475)
Ti (0.9975, 0.7500, 0.0025)
Se (0.2469, 0.9969, 0.9939)
Ti (0.5049, 0.2525, 0.0025)
Se (0.7500, 0.9969, 0.5031)
Ti (0.7525, 0.0025, 0.0049)
Ge (0.0000, 0.0000, 0.2500)

Computed properties:
* SG: I4_132 (214)
* crystal system: cubic
* D(E_F): 3.142 states/eV/f.u.
* VASP energy: -6.488 eV per atom
* volume: 19.6 Å³/atom
* energy relative to the elements, uncorrected: -0.9510 eV/atom


An optimized crystal structure of CsRbTe5. Source: Alexandria via LeMat-Bulk, functional PBE-GGA.

a = 7.1526 Å, b = 7.1526 Å, c = 13.7288 Å
α = 93.00°, β = 93.00°, γ = 121.74°
Sites, in units of the cell vectors:
Te (0.3420, 0.7619, 0.9527)
Rb (0.5000, 0.5000, 0.5000)
Cs (0.2967, 0.2033, 0.7500)
Cs (0.7033, 0.7967, 0.2500)
Te (0.6580, 0.2381, 0.0473)
Te (0.5887, 0.9113, 0.7500)
Te (0.1208, 0.5909, 0.6500)
Te (0.9091, 0.3792, 0.8500)
Te (0.8792, 0.4091, 0.3500)
Rb (0.0000, 0.0000, 0.0000)
Te (0.0909, 0.6208, 0.1500)
Te (0.4113, 0.0887, 0.2500)
Te (0.2619, 0.8420, 0.4527)
Te (0.7381, 0.1580, 0.5473)

Computed properties:
* SG: C2/c (15)
* crystal system: monoclinic
* D(E_F): 2.712 states/eV/f.u.
* VASP energy: -2.987 eV per atom
* volume: 42.4 Å³/atom
* energy relative to the elements, uncorrected: -0.4828 eV/atom


An optimized crystal structure of Rb3ClF6. Source: Alexandria via LeMat-Bulk, functional PBE-GGA.

a = 4.4578 Å, b = 7.1806 Å, c = 14.2567 Å
α = 90.00°, β = 92.57°, γ = 90.00°
Site moments in Bohr magnetons follow the coordinates.
Sites, in units of the cell vectors:
F (0.5341, 0.5103, 0.8135)  0.07
F (0.5316, 0.2803, 0.4343)  0.00
Cl (0.0000, 0.0000, 0.0000)  0.00
F (0.7463, 0.6174, 0.4190)  0.00
F (0.7537, 0.1174, 0.0810)  0.00
Rb (0.4802, 0.1463, 0.7668)  0.00
F (0.2537, 0.3826, 0.5810)  0.00
Rb (0.5198, 0.8537, 0.2332)  0.00
Rb (0.0000, 0.0000, 0.5000)  0.00
F (0.9684, 0.7803, 0.0657)  0.00
Cl (0.5000, 0.5000, 0.5000)  0.00
Rb (0.5000, 0.5000, 0.0000)  0.00
F (0.2463, 0.8826, 0.9190)  0.00
Rb (0.9802, 0.3537, 0.2668)  0.00
F (0.4684, 0.7197, 0.5657)  0.00
F (0.0341, 0.9897, 0.3135)  0.07
F (0.0316, 0.2197, 0.9343)  0.00
Rb (0.0198, 0.6463, 0.7332)  0.00
F (0.4659, 0.4897, 0.1865)  0.07
F (0.9659, 0.0103, 0.6865)  0.07

Computed properties:
* SG: P2_1/c (14)
* crystal system: monoclinic
* D(E_F): 0.000 states/eV/f.u.
* VASP energy: -3.530 eV per atom
* volume: 22.8 Å³/atom
* energy relative to the elements, uncorrected: -1.9324 eV/atom